No. 1
First-principles (PBE) data for RbCrRuPb2 after structural relaxation, as listed in Alexandria.

Values from the calculation:
SG	P4/mmm (123)
formation energy	0.7437	eV per atom
D(E_F)	6.09	states/eV per cell

a b c (Å): 5.360 5.360 4.565
angles (deg): 90.00 90.00 90.00
Sites, in units of the cell vectors:
Rb 0.000 0.000 0.000
Cr 0.500 0.500 0.500
Ru 0.500 0.500 0.000
Pb 0.000 0.500 0.500
Pb 0.500 0.000 0.500

No. 2
First-principles (PBE) data for ZnSiSb2 after structural relaxation, as listed in Alexandria.

Values from the calculation:
SG	Fm-3m (225)
energy relative to the elements, uncorrected	0.379	eV/atom
D(E_F)	2.34	states/eV per cell

a b c (Å): 4.981 4.981 4.981
angles (deg): 60.00 60.00 60.00
Sites, in units of the cell vectors:
Zn 0.000 0.000 0.000
Si 0.500 0.500 0.500
Sb 0.250 0.250 0.250
Sb 0.750 0.750 0.750

No. 3
First-principles (PBE) data for La2Se2F after structural relaxation, as listed in Alexandria.

Values from the calculation:
SG	Cmc2_1 (36)
energy relative to the elements, uncorrected	-2.497	eV/atom
energy above the most stable polymorph in this dataset	0.0000	eV per atom
D(E_F)	6.12	states/eV per cell

a b c (Å): 9.216 9.216 6.783
angles (deg): 90.00 90.00 154.05
Sites, in units of the cell vectors:
La 0.073 0.927 0.500
La 0.322 0.678 0.472
La 0.678 0.322 0.972
La 0.927 0.073 0.000
Se 0.300 0.700 0.998
Se 0.469 0.531 0.691
Se 0.531 0.469 0.191
Se 0.700 0.300 0.498
F 0.118 0.882 0.846
F 0.882 0.118 0.346